Record 1
Ho3NiP2Rh9 | PBE-GGA | optimized geometry

Computed properties:
Crystal system   trigonal
Raw total energy   -6.965 eV/atom

a b c (Å): 6.0838 6.0838 8.3892
angles (deg): 90.00 90.00 120.00
Space group P-3m1 (No. 164)
Inequivalent atoms, fractional coordinates:
Ho (0.0000, 0.0000, 0.0000)
Ho (0.3333, 0.6667, 0.6591)
Ni (0.0000, 0.0000, 0.5000)
P (0.3333, 0.6667, 0.1701)
Rh (0.0000, 0.5000, 0.0000)
Rh (0.1520, 0.3040, 0.2902)

***

Record 2
Tb2Ni4Sn3 | PBE-GGA | optimized geometry

Computed properties:
Crystal system   orthorhombic
Raw total energy   -5.396 eV/atom

a b c (Å): 5.970 16.010 6.954
angles (deg): 90.00 90.00 90.00
Space group Cmce (No. 64)
Inequivalent atoms, fractional coordinates:
Tb (0.000, 0.102, 0.086)
Ni (0.000, 0.163, 0.491)
Ni (0.250, 0.074, 0.750)
Sn (0.000, 0.000, 0.500)
Sn (0.250, 0.239, 0.750)

***

Record 3
YZnNi2 | PBE-GGA | optimized geometry

Computed properties:
Crystal system   cubic
Raw total energy   -4.941 eV/atom

a b c (Å): 6.354 6.354 6.354
angles (deg): 90.00 90.00 90.00
Space group F-43m (No. 216)
Inequivalent atoms, fractional coordinates:
Y (0.000, 0.000, 0.000)
Zn (0.250, 0.250, 0.750)
Ni (0.000, 0.000, 0.500)
Ni (0.250, 0.250, 0.250)

***

Record 4
K2PtAu | PBE-GGA | optimized geometry

Computed properties:
Crystal system   tetragonal
E above lowest polymorph   241.6 meV/atom

a b c (Å): 4.419 4.419 9.895
angles (deg): 90.00 90.00 90.00
Space group I4/mmm (No. 139)
Inequivalent atoms, fractional coordinates:
K (0.000, 0.500, 0.250)
Pt (0.000, 0.000, 0.000)
Au (0.000, 0.000, 0.500)

***

Record 5
ZrCrRe2 | PBE-GGA | optimized geometry

Computed properties:
Crystal system   tetragonal
E above lowest polymorph   28.0 meV/atom

a b c (Å): 3.121 3.121 6.468
angles (deg): 90.00 90.00 90.00
Space group P4/mmm (No. 123)
Inequivalent atoms, fractional coordinates:
Zr (0.000, 0.000, 0.000)
Cr (0.000, 0.000, 0.500)
Re (0.500, 0.500, 0.278)

***

Record 6
NdPu4Au5 | PBE-GGA | optimized geometry

Computed properties:
Crystal system   tetragonal
Raw total energy   -7.662 eV/atom

a b c (Å): 3.894 3.894 15.111
angles (deg): 90.00 90.00 90.00
Space group P4/mmm (No. 123)
Inequivalent atoms, fractional coordinates:
Nd (0.000, 0.000, 0.000)
Pu (0.000, 0.000, 0.232)
Pu (0.000, 0.000, 0.380)
Au (0.500, 0.500, 0.114)
Au (0.500, 0.500, 0.308)
Au (0.500, 0.500, 0.500)

***

Record 7
SrNiBr3 | PBE-GGA | optimized geometry

Computed properties:
Crystal system   cubic
E above lowest polymorph   0.0 meV/atom
Energy relative to the elements, uncorrected   -1.028 eV per atom

a b c (Å): 5.046 5.046 5.046
angles (deg): 90.00 90.00 90.00
Space group Pm-3m (No. 221)
Inequivalent atoms, fractional coordinates:
Sr (0.000, 0.000, 0.000)
Ni (0.500, 0.500, 0.500)
Br (0.000, 0.500, 0.500)

***

Record 8
Fe2CoAu | PBE-GGA | optimized geometry

Computed properties:
Crystal system   monoclinic
E above lowest polymorph   95.2 meV/atom

a b c (Å): 8.701 2.695 4.620
angles (deg): 90.00 100.06 90.00
Space group C2/m (No. 12)
Inequivalent atoms, fractional coordinates:
Fe (0.246, 0.000, 0.231)
Co (0.000, 0.500, 0.000)
Au (0.000, 0.000, 0.500)

***

Number 1: magnetic moment 0.00 μB/f.u.. Number 2: magnetic moment 0.00 μB/f.u.. Number 3: magnetic moment 0.00 μB/f.u.. Number 4: magnetic moment 0.00 μB/f.u.. Number 5: magnetic moment 0.00 μB/f.u.. Number 6: magnetic moment 0.14 μB/f.u.. Number 7: magnetic moment 0.00 μB/f.u.. Number 8: magnetic moment 7.07 μB/f.u..